1.
Compound: Th3CdFe
Source: Alexandria via LeMat-Bulk
Functional: PBE
Structure: optimized geometry

a = 5.2233 Å, b = 5.2233 Å, c = 5.2233 Å
α = 90.00°, β = 90.00°, γ = 90.00°
Space group Pm-3m (No. 221)
Asymmetric unit:
1 Th 0.0000 0.0000 0.5000
2 Cd 0.5000 0.5000 0.5000
3 Fe 0.0000 0.0000 0.0000

=====

2.
Compound: Th3Cd2Fe
Source: Alexandria via LeMat-Bulk
Functional: PBE
Structure: optimized geometry

a = 17.1551 Å, b = 5.0953 Å, c = 7.3134 Å
α = 90.00°, β = 90.00°, γ = 90.00°
Space group Cmcm (No. 63)
Asymmetric unit:
1 Th 0.0000 0.9996 0.2500
2 Th 0.1216 0.5000 0.0000
3 Cd 0.2031 0.0002 0.2500
4 Fe 0.0000 0.4992 0.2500

=====

| no. | formation enthalpy at 0 K (meV/atom) |
| --- | --- |
| 1 | -64.0 |
| 2 | -108.4 |